1.
Sm2Y7Pu | PBE | optimized geometry

abc: 3.494 15.162 15.162
angles: 156.34 90.10 90.10
Site moments in Bohr magnetons follow the coordinates.
Sites, in units of the cell vectors:
Sm  0.500  0.810  0.190  0.00
Sm  0.500  0.190  0.810  0.00
Y  0.000  0.707  0.293  0.00
Y  0.000  0.293  0.707  0.00
Y  0.219  0.155  0.351  -0.08
Y  0.781  0.845  0.649  -0.08
Y  0.219  0.351  0.155  -0.08
Y  0.781  0.649  0.845  -0.08
Y  0.500  0.500  0.500  -0.22
Pu  0.000  0.000  0.000  -5.71

Calculated values
**Calculated formation energy**: 1.4 eV per formula unit
**Magnetic moment**: 0.72 μB per atom
**Crystal system**: monoclinic
**Theoretical density**: 6.01 Mg/m³

2.
V4Fe3Tc | PBE | optimized geometry

abc: 2.961 4.119 8.169
angles: 90.00 90.00 90.00
Site moments in Bohr magnetons follow the coordinates.
Sites, in units of the cell vectors:
Tc  0.500  0.500  0.000  0.02
Fe  0.500  0.000  0.255  1.16
Fe  0.500  0.500  0.500  1.21
Fe  0.500  0.000  0.745  1.16
V  0.000  0.000  0.500  -0.34
V  0.000  0.500  0.742  -0.26
V  0.000  0.000  0.000  -0.17
V  0.000  0.500  0.258  -0.26

Calculated values
**Calculated formation energy**: -1.3 eV per formula unit
**Magnetic moment**: 0.29 μB per atom
**Crystal system**: orthorhombic
**Theoretical density**: 7.82 Mg/m³

3.
Ho2PaPb | PBE | optimized geometry

abc: 3.524 3.524 9.104
angles: 90.00 90.00 90.00
Site moments in Bohr magnetons follow the coordinates.
Sites, in units of the cell vectors:
Pb  0.500  0.500  0.500  0.01
Pa  0.500  0.500  0.000  0.42
Ho  0.000  0.000  0.744  0.04
Ho  0.000  0.000  0.256  0.04

Calculated values
**Calculated formation energy**: -0.3 eV per formula unit
**Magnetic moment**: 0.15 μB per atom
**Excess energy over the best structure of this formula in the dataset**: 0.0 meV per atom
**Crystal system**: tetragonal
**Theoretical density**: 11.28 Mg/m³

4.
SrAlCd3Ag | PBE | optimized geometry

abc: 6.165 7.036 7.900
angles: 116.45 90.00 90.00
Sites, in units of the cell vectors:
Sr  0.750  0.290  0.580
Sr  0.250  0.710  0.420
Al  0.250  0.932  0.864
Al  0.750  0.068  0.136
Cd  0.250  0.144  0.287
Cd  0.000  0.299  0.000
Cd  0.500  0.701  0.000
Cd  0.500  0.299  0.000
Cd  0.000  0.701  0.000
Cd  0.750  0.856  0.713
Ag  0.250  0.346  0.691
Ag  0.750  0.654  0.309

Calculated values
**Calculated formation energy**: -0.3 eV per formula unit
**Magnetic moment**: 0.00 μB per atom
**Crystal system**: orthorhombic
**Theoretical density**: 6.06 Mg/m³

5.
Ce5U2S12 | PBE | optimized geometry

abc: 7.410 8.625 9.065
angles: 105.57 90.00 115.44
Site moments in Bohr magnetons follow the coordinates.
Sites, in units of the cell vectors:
Ce  0.297  0.595  0.640  0.80
Ce  0.312  0.624  0.171  0.86
Ce  0.000  0.000  0.500  0.83
Ce  0.688  0.376  0.829  0.86
Ce  0.703  0.405  0.360  0.80
U  0.744  0.000  0.000  1.90
U  0.256  0.000  0.000  1.90
S  0.993  0.985  0.195  -0.06
S  0.094  0.649  0.907  -0.05
S  0.555  0.649  0.907  -0.05
S  0.100  0.698  0.433  -0.03
S  0.598  0.698  0.433  -0.03
S  0.498  0.996  0.779  -0.06
S  0.502  0.004  0.221  -0.06
S  0.900  0.302  0.567  -0.03
S  0.402  0.302  0.567  -0.03
S  0.906  0.351  0.093  -0.05
S  0.445  0.351  0.093  -0.05
S  0.007  0.015  0.805  -0.06

Calculated values
**Magnetic moment**: 0.42 μB per atom
**Formation energy from raw total energies**: -1.749 eV per atom
**Crystal system**: monoclinic
**Theoretical density**: 5.19 Mg/m³

6.
Pr5Nd4Y2 | PBE | optimized geometry

abc: 3.539 9.035 12.411
angles: 97.14 98.20 90.00
Sites, in units of the cell vectors:
Pr  0.140  0.114  0.280
Pr  0.860  0.886  0.720
Pr  0.230  0.821  0.461
Pr  0.500  0.000  0.000
Pr  0.770  0.179  0.539
Nd  0.677  0.471  0.354
Nd  0.046  0.362  0.092
Nd  0.323  0.529  0.646
Nd  0.954  0.638  0.908
Y  0.909  0.268  0.819
Y  0.091  0.732  0.181

Calculated values
**Calculated formation energy**: 1.4 eV per formula unit
**Magnetic moment**: 0.00 μB per atom
**Excess energy over the best structure of this formula in the dataset**: 0.0 meV per atom
**Crystal system**: monoclinic
**Theoretical density**: 6.22 Mg/m³